First-principles (PBE-GGA) data for crystalline KTbAgTe3 at its relaxed geometry, as listed in OQMD via LeMat-Bulk.

The space group is Cmcm. As for the crystal system: orthorhombic. Its total DFT energy (no corrections) is -46.89 eV per cell.

a b c (Å): 8.441 8.441 11.412
angles (deg): 90.00 90.00 150.53
Atoms (fractional coordinates):
1 Te 0.867 0.133 0.451
2 Te 0.578 0.422 0.250
3 Te 0.133 0.867 0.549
4 Te 0.422 0.578 0.750
5 Te 0.867 0.133 0.049
6 Te 0.133 0.867 0.951
7 K 0.257 0.743 0.250
8 K 0.743 0.257 0.750
9 Ag 0.035 0.965 0.750
10 Ag 0.965 0.035 0.250
11 Tb 0.500 0.500 0.500
12 Tb 0.500 0.500 0.000